A plane-wave DFT calculation with PBE was carried out for a relaxed structure of Cs3AcNd2S6.

The space group is C2/m (No. 12) and the conventional cell measures 7.507, 13.000 and 8.484 Å, with angles of 90.00, 107.16 and 90.00 degrees. The distinct sites, in fractional coordinates, are Cs at (0.000, 0.000, 0.000), Cs at (0.000, 0.334, 0.000), Ac at (0.000, 0.500, 0.500), Nd at (0.000, 0.167, 0.500), S at (0.218, 0.000, 0.688) and S at (0.235, 0.328, 0.688).

Its density of states at the Fermi level is 0.00 states/eV/f.u. The calculation puts the calculated density at 4.65 Mg/m³. The spin magnetization is 0.0 μB per cell. For the electronic total energy, the calculation gives -125.8 eV/cell.



A plane-wave DFT calculation with PBE was carried out for a relaxed structure of Li2HfCrBr.

The space group is P4/mmm (No. 123) and the conventional cell measures 4.462, 4.462 and 5.187 Å, with angles of 90.00, 90.00 and 90.00 degrees. The distinct sites, in fractional coordinates, are Li at (0.000, 0.500, 0.000), Hf at (0.000, 0.000, 0.500), Cr at (0.500, 0.500, 0.500) and Br at (0.500, 0.500, 0.000).

Its density of states at the Fermi level is 4.81 states/eV/f.u. The calculation puts the calculated density at 5.21 Mg/m³. The spin magnetization is 2.7 μB per cell. For the electronic total energy, the calculation gives -22.4 eV/cell.